1.
# La2Dy5Y12 (PBE, optimized geometry)
data_La2Dy5Y12
_space_group_name_H-M_alt 'P 1'
_space_group_IT_number 1
_cell_length_a 6.9507
_cell_length_b 8.5439
_cell_length_c 11.2214
_cell_angle_alpha 91.23
_cell_angle_beta 95.90
_cell_angle_gamma 102.81
loop_
_space_group_symop_operation_xyz
'x,y,z'
loop_
_atom_site_label
_atom_site_type_symbol
_atom_site_fract_x
_atom_site_fract_y
_atom_site_fract_z
_atom_site_occupancy
La1 La 0.0000 0.0000 0.0000 1
La2 La 0.4664 0.9664 0.9174 1
Dy1 Dy 0.2331 0.5302 0.5951 1
Dy2 Dy 0.2343 0.4367 0.3221 1
Dy3 Dy 0.4767 0.0984 0.2468 1
Dy4 Dy 0.7330 0.4836 0.4600 1
Dy5 Dy 0.9896 0.8681 0.6703 1
Y1 Y 0.0722 0.8210 0.3846 1
Y2 Y 0.1018 0.5877 0.8660 1
Y3 Y 0.2180 0.7203 0.1357 1
Y4 Y 0.2484 0.2462 0.7813 1
Y5 Y 0.3644 0.3787 0.0509 1
Y6 Y 0.3940 0.1452 0.5326 1
Y7 Y 0.5526 0.8098 0.4535 1
Y8 Y 0.6201 0.6083 0.8413 1
Y9 Y 0.6951 0.7184 0.1700 1
Y10 Y 0.7712 0.2476 0.7473 1
Y11 Y 0.8463 0.3581 0.0757 1
Y12 Y 0.9141 0.1572 0.4638 1
# space group	P1 (1)
# mass density	5548	kg/m³
# energy above the most stable polymorph in this dataset	0.070	eV/atom
# energy of formation	3.91	eV per formula unit

2.
# La4Dy3Y8 (PBE, optimized geometry)
data_La4Dy3Y8
_space_group_name_H-M_alt 'P 1'
_space_group_IT_number 1
_cell_length_a 12.6350
_cell_length_b 12.6350
_cell_length_c 12.6350
_cell_angle_alpha 32.34
_cell_angle_beta 32.34
_cell_angle_gamma 32.34
loop_
_space_group_symop_operation_xyz
'x,y,z'
loop_
_atom_site_label
_atom_site_type_symbol
_atom_site_fract_x
_atom_site_fract_y
_atom_site_fract_z
_atom_site_occupancy
La1 La 0.0000 0.0000 0.0000 1
La2 La 0.1639 0.1639 0.1639 1
La3 La 0.5000 0.5000 0.5000 1
La4 La 0.8361 0.8361 0.8361 1
Dy1 Dy 0.0000 0.5000 0.5000 1
Dy2 Dy 0.5000 0.0000 0.5000 1
Dy3 Dy 0.5000 0.5000 0.0000 1
Y1 Y 0.2497 0.2497 0.7467 1
Y2 Y 0.2497 0.7467 0.2497 1
Y3 Y 0.2533 0.7503 0.7503 1
Y4 Y 0.2556 0.2556 0.2556 1
Y5 Y 0.7444 0.7444 0.7444 1
Y6 Y 0.7467 0.2497 0.2497 1
Y7 Y 0.7503 0.2533 0.7503 1
Y8 Y 0.7503 0.7503 0.2533 1
# space group	R-3m (166)
# mass density	5678	kg/m³
# energy of formation	1.71	eV per formula unit

3.
# La4Dy10Y (PBE, optimized geometry)
data_La4Dy10Y
_space_group_name_H-M_alt 'P 1'
_space_group_IT_number 1
_cell_length_a 8.7572
_cell_length_b 8.7572
_cell_length_c 8.7572
_cell_angle_alpha 111.82
_cell_angle_beta 111.82
_cell_angle_gamma 104.86
loop_
_space_group_symop_operation_xyz
'x,y,z'
loop_
_atom_site_label
_atom_site_type_symbol
_atom_site_fract_x
_atom_site_fract_y
_atom_site_fract_z
_atom_site_occupancy
La1 La 0.0657 0.3356 0.4012 1
La2 La 0.3356 0.9343 0.2699 1
La3 La 0.6644 0.0657 0.7301 1
La4 La 0.9343 0.6644 0.5988 1
Dy1 Dy 0.1304 0.4528 0.9050 1
Dy2 Dy 0.2255 0.1304 0.6776 1
Dy3 Dy 0.2500 0.7500 0.5000 1
Dy4 Dy 0.4522 0.7745 0.9050 1
Dy5 Dy 0.4528 0.5478 0.3224 1
Dy6 Dy 0.5472 0.4522 0.6776 1
Dy7 Dy 0.5478 0.2255 0.0950 1
Dy8 Dy 0.7500 0.2500 0.5000 1
Dy9 Dy 0.7745 0.8696 0.3224 1
Dy10 Dy 0.8696 0.5472 0.0950 1
Y1 Y 0.0000 0.0000 0.0000 1
# space group	I4/m (87)
# mass density	7325	kg/m³
# energy of formation	5.32	eV per formula unit